## P
DyReAs GGA-PBE relaxed; mass density = 9.95 g/cm³; space group = No. 216
1.0
0.0000 3.2821 3.2821
3.2821 0.0000 3.2821
3.2821 3.2821 0.0000
Dy Re As
1 1 1
direct
0.0000 0.0000 0.0000
0.2500 0.2500 0.2500
0.7500 0.7500 0.7500

## Q
DyReAs GGA-PBE relaxed; mass density = 11.18 g/cm³; space group = No. 216
1.0
0.0000 3.1565 3.1565
3.1565 0.0000 3.1565
3.1565 3.1565 0.0000
Dy Re As
1 1 1
direct
0.0000 0.0000 0.0000
0.5000 0.5000 0.5000
0.2500 0.2500 0.2500

Most stable: Q (next structure +83.1 kJ/mol of atoms)

## P
HgPbSO GGA-PBE relaxed; mass density = 8.09 g/cm³; space group = No. 29
1.0
7.2941 0.0000 0.0000
0.0000 7.6904 0.0000
0.0000 0.0000 6.6757
Hg Pb S O
4 4 4 4
direct
0.0834 0.1325 0.0000
0.4166 0.1325 0.5000
0.5834 0.8675 0.0000
0.9166 0.8675 0.5000
0.1478 0.6049 0.9060
0.3522 0.6049 0.4060
0.6478 0.3951 0.9060
0.8522 0.3951 0.4060
0.0731 0.1426 0.6031
0.4269 0.1426 0.1031
0.5731 0.8574 0.6031
0.9269 0.8574 0.1031
0.0047 0.5912 0.5886
0.4953 0.5912 0.0886
0.5047 0.4088 0.5886
0.9953 0.4088 0.0886

## Q
HgPbSO GGA-PBE relaxed; mass density = 8.63 g/cm³; space group = No. 186
1.0
3.8872 0.0000 0.0000
-1.9436 3.3664 0.0000
0.0000 0.0000 13.4039
Hg Pb S O
2 2 2 2
direct
0.3333 0.6667 0.0000
0.6667 0.3333 0.5000
0.0000 0.0000 0.2343
0.0000 0.0000 0.7343
0.3333 0.6667 0.3577
0.6667 0.3333 0.8576
0.0000 0.0000 0.0554
0.0000 0.0000 0.5554

Most stable: P (next structure +24.9 kJ/mol of atoms)